[1]
Computed, not measured: a relaxed SiAsRu2 crystal at the PBE-GGA level of DFT.

Total energy in eV per atom: -7.469
Energy relative to the elements, uncorrected in meV/atom: -313

```
SiAsRu2
1.0
-1.3025 -1.5895 -2.1619
-2.0749 -0.9272 1.9317
-3.5090 4.8413 -1.4454
As Ru Si
1 2 1
direct
0.5000 0.5000 0.7500
0.0000 0.0000 0.0187
0.0000 0.0000 0.4813
0.5000 0.5000 0.2500
```

[2]
Computed, not measured: a relaxed SiAsRu2 crystal at the PBE-GGA level of DFT.

Total energy in eV per atom: -7.466
Energy relative to the elements, uncorrected in meV/atom: -310

```
SiAsRu2
1.0
-4.1597 1.8717 0.6932
-3.0819 0.9085 3.3112
0.9481 4.1330 1.1304
As Ru Si
1 2 1
direct
0.2517 0.2517 0.1968
0.9906 0.9906 0.0692
0.7621 0.7621 0.6631
0.4956 0.4956 0.5709
```

[3]
Computed, not measured: a relaxed Si2AsRu crystal at the PBE-GGA level of DFT.

Total energy in eV per atom: -6.056
Energy relative to the elements, uncorrected in meV/atom: 137

```
Si2AsRu
1.0
5.5815 0.0000 0.0000
0.0000 5.5815 0.0000
2.7908 2.7908 5.2811
Ru As Si
2 2 4
direct
0.0000 0.0000 0.0000
0.7500 0.2500 0.5000
0.5000 0.5000 0.0000
0.2500 0.7500 0.5000
0.6467 0.1250 0.2500
0.1033 0.6250 0.2500
0.3750 0.3533 0.7500
0.8750 0.8967 0.7500
```

[4]
Computed, not measured: a relaxed Si2AsRu crystal at the PBE-GGA level of DFT.

Total energy in eV per atom: -6.193
Energy relative to the elements, uncorrected in meV/atom: 0

```
Si2AsRu
1.0
-1.3111 2.5485 0.5313
-2.0226 -1.3725 1.5879
3.9810 0.8398 5.7966
As Ru Si
1 1 2
direct
0.5000 0.5000 0.2500
0.5000 0.5000 0.7500
0.0000 0.0000 0.9598
0.0000 0.0000 0.5402
```

[5]
Computed, not measured: a relaxed Si2AsRu crystal at the PBE-GGA level of DFT.

Total energy in eV per atom: -6.293
Energy relative to the elements, uncorrected in meV/atom: -100

```
Si2AsRu
1.0
-0.8850 2.0874 -3.7132
-1.2442 -3.8354 -1.8596
-4.0805 -1.7536 -0.0133
As Ru Si
1 1 2
direct
0.0000 0.6238 0.6237
0.5000 0.8013 0.8012
0.0000 0.9410 0.9411
0.5000 0.1340 0.1340
```

[6]
Computed, not measured: a relaxed SiAs4Ru crystal at the PBE-GGA level of DFT.

Total energy in eV per atom: -4.657
Energy relative to the elements, uncorrected in meV/atom: 893

```
SiAs4Ru
1.0
0.0000 3.8244 3.8244
3.8244 0.0000 3.8244
3.8244 3.8244 0.0000
Si As Ru
1 4 1
direct
0.0000 0.0000 0.0000
0.8800 0.3733 0.3733
0.3733 0.3733 0.8800
0.3733 0.8800 0.3733
0.3733 0.3733 0.3733
0.7500 0.7500 0.7500
```

So what do the calculations give for volume? Going down the list: 55; 56; 165; 60; 69; 112 Å³ per cell.